# 1
# Dy3Y3Er

Dy3Y3Er after structural relaxation (GGA-PBE, Alexandria).

extended XYZ file:
```
7
Lattice="4.928 2.845 2.732 -4.928 2.845 2.732 0.000 -5.690 2.732" Properties=species:S:1:pos:R:3 pbc="T T T"
Dy 0.000 -2.312 2.732
Dy -2.002 1.156 2.732
Dy 2.002 1.156 2.732
Y 0.000 -2.002 6.224
Y -1.734 1.001 6.224
Y 1.734 1.001 6.224
Er 0.000 0.000 0.472
```

Summary:
Total moment (μB/f.u.): 0.00
Symmetry: R3m
Energy relative to the elements (eV per formula unit): 1.85
Volume (A^3/atom): 32.8
Energy above the lowest structure with this stoichiometry (meV/atom): 117.5

***

# 2
# Tb3C2F

Tb3C2F after structural relaxation (GGA-PBE, Alexandria).

extended XYZ file:
```
12
Lattice="1.834 -6.166 0.000 1.834 6.166 0.000 0.000 0.000 10.617" Properties=species:S:1:pos:R:3 pbc="T T T"
Tb 1.834 5.113 7.962
Tb 1.834 1.410 6.116
Tb 1.834 1.410 9.809
Tb 1.834 -1.410 0.808
Tb 1.834 -1.410 4.501
Tb 1.834 -5.113 2.654
C 0.000 0.000 0.000
C 0.000 0.000 5.308
C 1.834 0.293 7.962
C 1.834 -0.293 2.654
F 1.834 2.842 2.654
F 1.834 -2.842 7.962
```

Summary:
Total moment (μB/f.u.): 0.00
Symmetry: Cmcm
Volume (A^3/atom): 20.0
Formation energy from raw total energies (eV per atom): -0.73

***

# 3
# BaTlGa

BaTlGa after structural relaxation (GGA-PBE, Alexandria).

extended XYZ file:
```
6
Lattice="-2.598 4.229 4.253 2.598 -4.229 4.253 2.598 4.229 -4.253" Properties=species:S:1:pos:R:3 pbc="T T T"
Ba 0.000 0.000 0.000
Ba 0.000 4.229 0.797
Tl 2.598 2.591 -0.948
Tl 0.000 1.638 3.304
Ga 2.598 -1.416 1.797
Ga 2.598 1.416 1.797
```

Summary:
Total moment (μB/f.u.): 0.00
Symmetry: Imm2
Energy relative to the elements (eV per formula unit): -1.19
Volume (A^3/atom): 31.2